# 1
The following is a meta-GGA SCAN calculation of a crystal of Mg2TeCl relaxed with PBEsol, from Alexandria via LeMat-Bulk.

abc: 3.7497 3.8500 6.8212
angles: 90.00 90.00 90.00
Closest atoms and distances in Å follow each position.
Space group Pmmm (No. 47)
Symmetry-distinct sites (fractional):
Mg (0.0000, 0.0000, 0.2153) [2 per cell]  2 Cl 2.70, 1 Mg 2.94
Te (0.5000, 0.5000, 0.0000) [1 per cell]  8 Mg 3.06
Cl (0.5000, 0.0000, 0.5000) [1 per cell]  4 Mg 2.70


# 2
The following is a meta-GGA SCAN calculation of a crystal of MgTeCl relaxed with PBEsol, from Alexandria via LeMat-Bulk.

abc: 4.7522 4.7522 3.4050
angles: 90.00 90.00 120.00
Closest atoms and distances in Å follow each position.
Space group P3m1 (No. 156)
Symmetry-distinct sites (fractional):
Mg (0.0000, 0.0000, 0.0000) [1 per cell]  3 Cl 2.74
Te (0.6667, 0.3333, 0.4973) [1 per cell]  6 Mg 3.22-3.23, 6 Cl 3.23, 2 Te 3.41
Cl (0.3333, 0.6667, 0.9966) [1 per cell]  3 Mg 2.74


# 3
The following is a meta-GGA SCAN calculation of a crystal of MgTeCl relaxed with PBEsol, from Alexandria via LeMat-Bulk.

abc: 6.8388 6.8388 6.8388
angles: 90.00 90.00 90.00
Closest atoms and distances in Å follow each position.
Space group F-43m (No. 216)
Symmetry-distinct sites (fractional):
Mg (0.0000, 0.0000, 0.0000) [4 per cell]  4 Cl 2.96
Te (0.0000, 0.0000, 0.5000) [4 per cell]  4 Cl 2.96
Cl (0.2500, 0.2500, 0.2500) [4 per cell]  4 Te 2.96, 4 Mg 2.96


# 4
The following is a meta-GGA SCAN calculation of a crystal of Mg2TeCl relaxed with PBEsol, from Alexandria via LeMat-Bulk.

abc: 4.1501 6.6720 7.5488
angles: 90.00 90.00 90.00
Closest atoms and distances in Å follow each position.
Space group Cmmm (No. 65)
Symmetry-distinct sites (fractional):
Mg (0.0000, 0.0000, 0.2472) [4 per cell]  2 Te 2.79, 2 Cl 2.82
Te (0.0000, 0.5000, 0.0000) [2 per cell]  4 Mg 2.79
Cl (0.0000, 0.5000, 0.5000) [2 per cell]  4 Mg 2.82


# 5
The following is a meta-GGA SCAN calculation of a crystal of MgTeCl4 relaxed with PBEsol, from Alexandria via LeMat-Bulk.

abc: 8.1144 8.1144 8.1144
angles: 90.00 90.00 90.00
Closest atoms and distances in Å follow each position.
Space group F-43m (No. 216)
Symmetry-distinct sites (fractional):
Mg (0.0000, 0.0000, 0.0000) [4 per cell]  12 Cl 3.36, 4 Te 3.51
Te (0.2500, 0.2500, 0.7500) [4 per cell]  12 Cl 3.36, 4 Mg 3.51
Cl (0.1253, 0.1253, 0.3747) [16 per cell]  6 Cl 2.86-2.88


# 6
The following is a meta-GGA SCAN calculation of a crystal of Mg2TeCl relaxed with PBEsol, from Alexandria via LeMat-Bulk.

abc: 4.2392 4.2392 18.5385
angles: 90.00 90.00 120.00
Closest atoms and distances in Å follow each position.
Space group R-3m (No. 166, hexagonal axes)
Symmetry-distinct sites (fractional):
Mg (0.0000, 0.0000, 0.2464) [6 per cell]  3 Cl 2.86, 3 Te 2.93
Te (0.0000, 0.0000, 0.0000) [3 per cell]  6 Mg 2.93
Cl (0.0000, 0.0000, 0.5000) [3 per cell]  6 Mg 2.86


What formation energy (no corrections) values result from the calculations? In sequence: -833; -624; -6; -624; 271; -846 meV per atom.